DFT (GGA-PBEsol) results for a geometry-optimized CoSiSb structure.

## Properties
* total energy: -18.0 eV per cell
* symmetry: No. 156
* raw formation energy: 0.029 eV/atom
* M_tot: 0.00 μB/f.u.

```
CoSiSb
1.0
3.242 0.000 0.000
-1.621 2.807 0.000
0.000 0.000 5.365
Co Si Sb
1 1 1
Cartesian
0.000 0.000 0.000
1.621 0.936 1.273
0.000 1.872 3.607
```